[1]
This record from Alexandria via LeMat-Bulk describes a relaxed structure of Al4Cu. The functional is PBE.

abc: 4.918 4.918 4.918
angles: 109.47 109.47 109.47
Fractional coordinates of all 5 atoms:
Al1 0.500 0.000 0.000
Al2 0.500 0.500 0.500
Al3 0.000 0.500 0.000
Al4 0.000 0.000 0.500
Cu1 0.000 0.000 0.000



[2]
This record from Alexandria via LeMat-Bulk describes a relaxed structure of Al4Cu. The functional is PBE.

abc: 4.808 4.808 4.808
angles: 100.29 100.29 129.99
Fractional coordinates of all 5 atoms:
Al1 0.800 0.392 0.192
Al2 0.392 0.200 0.592
Al3 0.200 0.608 0.808
Al4 0.608 0.800 0.408
Cu1 0.000 0.000 0.000



no.,calculated total energy (eV/atom),spin magnetization (μB/f.u.),formation energy (meV/atom)
1,-3.67,0.0,143
2,-3.85,0.0,-36